# 1
VASP calculation (meta-GGA SCAN) on a crystal of Ni2HgBr relaxed with PBEsol.

Values from the calculation:
- Energy above the lowest structure with this stoichiometry: 0.569 eV/atom
- E_tot: -29.085 eV per atom
- Formation energy without anion corrections: 3.6 eV per formula unit

Lattice parameters (Å, degrees): 6.375 6.375 6.375 90.00 90.00 90.00
Space group F-43m (No. 216)
Inequivalent atoms, fractional coordinates:
Ni: 0.000 0.000 0.000 [4 per cell]
Ni: 0.250 0.250 0.250 [4 per cell]
Hg: 0.250 0.250 0.750 [4 per cell]
Br: 0.000 0.000 0.500 [4 per cell]

# 2
VASP calculation (meta-GGA SCAN) on a crystal of Hg5Br2O4 relaxed with PBEsol.

Values from the calculation:
- E_tot: -37.148 eV per atom
- Formation energy without anion corrections: -4.0 eV per formula unit

Lattice parameters (Å, degrees): 6.173 11.838 11.805 90.00 90.00 90.00
Space group Ibam (No. 72)
Inequivalent atoms, fractional coordinates:
Hg: 0.000 0.000 0.250 [4 per cell]
Hg: 0.000 0.337 0.250 [8 per cell]
Hg: 0.212 0.142 0.000 [8 per cell]
Br: 0.226 0.393 0.000 [8 per cell]
O: 0.197 0.147 0.178 [16 per cell]